# 1
RbSrCuRh2 GGA-PBEsol optimized geometry; total magnetic moment = 0.000 μB/atom; total energy = -16.2 eV/f.u.
1.0
4.8995 0.0000 0.0000
0.0000 4.8995 0.0000
0.0000 0.0000 5.0664
Cu Rh Sr Rb
1 2 1 1
direct
0.0000 0.0000 0.5000
0.5000 0.0000 0.0000
0.0000 0.5000 0.0000
0.5000 0.5000 0.5000
0.0000 0.0000 0.0000

---

# 2
RbCu3S GGA-PBEsol optimized geometry; raw formation energy = 0.4471 eV/atom; total magnetic moment = 0.000 μB/atom
1.0
4.6440 0.0000 0.0000
0.0000 4.6440 0.0000
0.0000 0.0000 4.6440
S Cu Rb
1 3 1
direct
0.0000 0.0000 0.0000
0.0000 0.5000 0.0000
0.5000 0.0000 0.0000
0.0000 0.0000 0.5000
0.5000 0.5000 0.5000

---

# 3
RbCu3S2 GGA-PBEsol optimized geometry; raw formation energy = -0.4862 eV/atom; total magnetic moment = 0.000 μB/atom
1.0
-1.6477 0.0684 -3.4599
-4.7449 -3.7883 4.3076
-1.1824 8.2379 0.7260
S Rb Cu
4 2 6
direct
0.4757 0.9514 0.7572
0.5243 0.0486 0.2428
0.1899 0.3797 0.6767
0.8101 0.6203 0.3233
0.8629 0.7259 0.9549
0.1371 0.2741 0.0451
0.3109 0.6217 0.5729
0.6891 0.3783 0.4271
0.4094 0.8188 0.3665
0.0607 0.1215 0.4080
0.9393 0.8785 0.5920
0.5906 0.1812 0.6335